Entry 1:
{"formula": "K3SrPb", "functional": "PBE", "state": "optimized geometry", "delta_e_f_ev_per_atom": 0.70, "total_magnetization_mub_per_cell": 1.02, "de_polymorph_kj_per_mol_fu": 254, "lattice_angstrom": [[7.316, 0.000, 0.000], [0.000, 7.316, 0.000], [0.000, 0.000, 7.316]], "species": ["K", "K", "K", "Sr", "Pb"], "fractional_positions": [[0.000, 0.000, 0.500], [0.000, 0.500, 0.000], [0.500, 0.000, 0.000], [0.000, 0.000, 0.000], [0.500, 0.500, 0.500]]}

***

Entry 2:
{"formula": "KSr2Pb", "functional": "PBE", "state": "optimized geometry", "delta_e_f_ev_per_atom": -0.17, "total_magnetization_mub_per_cell": 0.00, "lattice_angstrom": [[-1.996, 2.816, 9.079], [1.996, -2.816, 9.079], [1.996, 2.816, -9.079]], "species": ["K", "Sr", "Sr", "Pb"], "fractional_positions": [[0.000, 0.000, 0.000], [0.337, 0.337, 0.000], [0.669, 0.169, 0.500], [0.180, 0.680, 0.500]]}